(1)
4
Lattice="-1.929 1.929 4.230 1.929 -1.929 4.230 1.929 1.929 -4.230" Properties=species:S:1:pos:R:3 comment="MgBeAg2 (PBE-GGA, optimized geometry)" relative_energy_kj_per_mol_fu=31.2 density_g_cm3=6.6 vol_a3_per_atom=15.7 e_tot_ev_per_atom=-2.69 space_group="No. 119" ef_mev_per_atom=68 pbc="T T T"
Mg 0.000 0.000 0.000
Be 0.000 1.929 2.115
Ag 1.929 0.000 2.115
Ag 0.000 0.000 4.230

=====

(2)
8
Lattice="5.974 0.000 0.000 0.000 5.974 0.000 0.000 0.000 5.974" Properties=species:S:1:pos:R:3 comment="CaNd3Se4 (PBE-GGA, optimized geometry)" relative_energy_kj_per_mol_fu=2.7 density_g_cm3=6.1 vol_a3_per_atom=26.7 e_tot_ev_per_atom=-5.65 formation_energy_uncorrected_mev_per_atom=-1866 space_group="No. 221" pbc="T T T"
Ca 0.000 0.000 0.000
Nd 0.000 2.987 2.987
Nd 2.987 0.000 2.987
Nd 2.987 2.987 0.000
Se 0.000 0.000 2.987
Se 0.000 2.987 0.000
Se 2.987 0.000 0.000
Se 2.987 2.987 2.987

=====

(3)
10
Lattice="7.876 0.000 0.000 0.000 4.638 0.000 -1.170 0.000 10.273" Properties=species:S:1:pos:R:3 comment="KTl2TeCl (PBE-GGA, optimized geometry)" density_g_cm3=5.4 vol_a3_per_atom=37.5 e_tot_ev_per_atom=-3.03 formation_energy_uncorrected_mev_per_atom=-864 space_group="No. 11" pbc="T T T"
K -0.246 1.160 3.358
K 6.952 3.479 6.915
Tl 2.178 3.479 0.653
Tl 3.033 3.479 7.141
Tl 3.673 1.160 3.132
Tl 4.528 1.160 9.620
Te 1.223 1.160 8.730
Te 5.482 3.479 1.543
Cl 1.285 3.479 4.715
Cl 5.421 1.160 5.558

=====

(4)
4
Lattice="0.000 3.625 3.625 3.625 0.000 3.625 3.625 3.625 0.000" Properties=species:S:1:pos:R:3 comment="SbTeCl2 (PBE-GGA, optimized geometry)" relative_energy_kj_per_mol_fu=140.1 density_g_cm3=5.6 vol_a3_per_atom=23.8 e_tot_ev_per_atom=-2.91 formation_energy_uncorrected_mev_per_atom=-167 space_group="No. 216" pbc="T T T"
Sb 0.000 0.000 0.000
Te 5.437 5.437 5.437
Cl 1.812 1.812 1.812
Cl 3.625 3.625 3.625

=====

(5)
5
Lattice="2.106 1.216 10.071 -2.106 1.216 10.071 0.000 -2.432 10.071" Properties=species:S:1:pos:R:3 comment="Pm2GeCl2 (PBE-GGA, optimized geometry)" density_g_cm3=4.7 vol_a3_per_atom=31.0 e_tot_ev_per_atom=-5.21 formation_energy_uncorrected_mev_per_atom=-1646 space_group="No. 166" pbc="T T T"
Pm 0.000 0.000 3.356
Pm 0.000 0.000 26.857
Ge 0.000 0.000 15.106
Cl 0.000 0.000 8.290
Cl 0.000 0.000 21.923

=====

(6)
4
Lattice="0.000 3.697 3.697 3.697 0.000 3.697 3.697 3.697 0.000" Properties=species:S:1:pos:R:3 comment="GdThAgAu (PBE-GGA, optimized geometry)" density_g_cm3=11.4 vol_a3_per_atom=25.3 e_tot_ev_per_atom=-7.32 space_group="No. 216" ef_mev_per_atom=-411 pbc="T T T"
Gd 0.000 0.000 0.000
Th 3.697 3.697 3.697
Ag 5.546 5.546 5.546
Au 1.849 1.849 1.849

=====

- Number 5 is which compound?
  Pm2GeCl2

=====

Please write out number 3 again, unchanged.
10
Lattice="7.876 0.000 0.000 0.000 4.638 0.000 -1.170 0.000 10.273" Properties=species:S:1:pos:R:3 comment="KTl2TeCl (PBE-GGA, optimized geometry)" density_g_cm3=5.4 vol_a3_per_atom=37.5 e_tot_ev_per_atom=-3.03 formation_energy_uncorrected_mev_per_atom=-864 space_group="No. 11" pbc="T T T"
K -0.246 1.160 3.358
K 6.952 3.479 6.915
Tl 2.178 3.479 0.653
Tl 3.033 3.479 7.141
Tl 3.673 1.160 3.132
Tl 4.528 1.160 9.620
Te 1.223 1.160 8.730
Te 5.482 3.479 1.543
Cl 1.285 3.479 4.715
Cl 5.421 1.160 5.558

=====

What did the second record say?
8
Lattice="5.974 0.000 0.000 0.000 5.974 0.000 0.000 0.000 5.974" Properties=species:S:1:pos:R:3 comment="CaNd3Se4 (PBE-GGA, optimized geometry)" relative_energy_kj_per_mol_fu=2.7 density_g_cm3=6.1 vol_a3_per_atom=26.7 e_tot_ev_per_atom=-5.65 formation_energy_uncorrected_mev_per_atom=-1866 space_group="No. 221" pbc="T T T"
Ca 0.000 0.000 0.000
Nd 0.000 2.987 2.987
Nd 2.987 0.000 2.987
Nd 2.987 2.987 0.000
Se 0.000 0.000 2.987
Se 0.000 2.987 0.000
Se 2.987 0.000 0.000
Se 2.987 2.987 2.987